1.
A relaxed CsHf2Zn crystal. Source: Alexandria via LeMat-Bulk, functional PBE.

The structure belongs to space group I-42d (No. 122); the cell edges are 4.385, 4.385 and 22.213 Å and the angles 90.00°, 90.00° and 90.00°. Symmetry generates all atoms from Cs at (0.000, 0.000, 0.000), Hf at (0.225, 0.250, 0.625) and Zn at (0.000, 0.000, 0.500).

Its calculated formation energy is 1.13 eV/atom. The magnetization comes out at 0.00 μB/cell.

=====

2.
A relaxed BaAg5Pb7 crystal. Source: Alexandria via LeMat-Bulk, functional PBE.

The structure belongs to space group Imm2 (No. 44); the cell edges are 6.097, 10.611 and 10.822 Å and the angles 90.00°, 90.00° and 90.00°. Symmetry generates all atoms from Ba at (0.000, 0.000, 0.000), Ag at (0.000, 0.500, 0.273), Ag at (0.250, 0.242, 0.752), Pb at (0.000, 0.000, 0.354), Pb at (0.000, 0.000, 0.657), Pb at (0.000, 0.301, 0.493), Pb at (0.000, 0.348, 0.009) and Pb at (0.000, 0.500, 0.727).

Its calculated formation energy is -0.07 eV/atom. The magnetization comes out at 0.00 μB/cell.